Entry 1:
{
  "formula": "BaAgHgAu",
  "functional": "PBE",
  "state": "optimized geometry",
  "lattice": [[0.000, 3.814, 3.814], [3.814, 0.000, 3.814], [3.814, 3.814, 0.000]],
  "species": ["Ba", "Ag", "Hg", "Au"],
  "fractional_positions": [[0.000, 0.000, 0.000], [0.500, 0.500, 0.500], [0.250, 0.250, 0.250], [0.750, 0.750, 0.750]],
  "mass_density_g_cm3": 9.6,
  "energy_ev_per_atom": -2.4235,
  "m_tot_mub_per_fu": 0.0,
  "de_polymorph_ev_per_fu": 0.314,
  "crystal_system": "cubic",
  "formation_enthalpy_0k_ev_per_atom": -0.335,
  "dos_ef_per_ev_cell": 1.384
}



Entry 2:
{
  "formula": "Ba3AgHg2Au6",
  "functional": "PBE",
  "state": "optimized geometry",
  "lattice": [[6.680, 0.000, 0.000], [-3.340, 5.785, 0.000], [0.000, 0.000, 8.935]],
  "species": ["Ba", "Ba", "Ba", "Ag", "Hg", "Hg", "Au", "Au", "Au", "Au", "Au", "Au"],
  "fractional_positions": [[0.000, 0.000, 0.000], [0.333, 0.667, 0.631], [0.667, 0.333, 0.369], [0.000, 0.000, 0.500], [0.333, 0.667, 0.022], [0.667, 0.333, 0.978], [0.186, 0.372, 0.296], [0.186, 0.814, 0.296], [0.372, 0.186, 0.704], [0.628, 0.814, 0.296], [0.814, 0.186, 0.704], [0.814, 0.628, 0.704]],
  "mass_density_g_cm3": 10.1,
  "energy_ev_per_atom": -2.8575,
  "m_tot_mub_per_fu": 0.0,
  "crystal_system": "trigonal",
  "formation_enthalpy_0k_ev_per_atom": -0.450,
  "dos_ef_per_ev_cell": 2.319
}



Entry 3:
{
  "formula": "BaAgHgAu",
  "functional": "PBE",
  "state": "optimized geometry",
  "lattice": [[4.278, -2.462, 0.000], [4.278, 2.462, 0.000], [-2.818, 0.000, 5.404]],
  "species": ["Ba", "Ag", "Hg", "Au"],
  "fractional_positions": [[0.000, 0.000, 0.000], [0.516, 0.516, 0.549], [0.790, 0.790, 0.369], [0.211, 0.211, 0.634]],
  "mass_density_g_cm3": 9.4,
  "energy_ev_per_atom": -2.5020,
  "m_tot_mub_per_fu": 0.0,
  "de_polymorph_ev_per_fu": 0.000,
  "crystal_system": "monoclinic",
  "formation_enthalpy_0k_ev_per_atom": -0.414,
  "dos_ef_per_ev_cell": 1.843
}



Copy entry 1 word for word.
{
  "formula": "BaAgHgAu",
  "functional": "PBE",
  "state": "optimized geometry",
  "lattice": [[0.000, 3.814, 3.814], [3.814, 0.000, 3.814], [3.814, 3.814, 0.000]],
  "species": ["Ba", "Ag", "Hg", "Au"],
  "fractional_positions": [[0.000, 0.000, 0.000], [0.500, 0.500, 0.500], [0.250, 0.250, 0.250], [0.750, 0.750, 0.750]],
  "mass_density_g_cm3": 9.6,
  "energy_ev_per_atom": -2.4235,
  "m_tot_mub_per_fu": 0.0,
  "de_polymorph_ev_per_fu": 0.314,
  "crystal_system": "cubic",
  "formation_enthalpy_0k_ev_per_atom": -0.335,
  "dos_ef_per_ev_cell": 1.384
}